# 1
SmSc2Ga4 (GGA-PBE, relaxed); magnetic moment = 0.000 μB per atom; E = -4.83 eV per atom; crystal system = orthorhombic; space group = Immm, No. 71
1.0
4.070 0.000 0.000
0.000 4.085 0.000
0.000 0.000 17.713
Sm Sc Ga
2 4 8
Direct
0.000 0.000 0.000
0.500 0.500 0.500
0.000 0.500 0.187
0.000 0.500 0.813
0.500 0.000 0.313
0.500 0.000 0.687
0.000 0.000 0.429
0.000 0.000 0.571
0.000 0.500 0.347
0.000 0.500 0.653
0.500 0.000 0.153
0.500 0.000 0.847
0.500 0.500 0.071
0.500 0.500 0.929

---

# 2
Ca8Ac3 (GGA-PBE, relaxed); magnetic moment = 0.000 μB per atom; E = -2.25 eV per atom; crystal system = trigonal; space group = R-3, No. 148
1.0
6.954 4.015 3.065
-6.954 4.015 3.065
0.000 -8.030 3.065
Ca Ac
8 3
Direct
0.010 0.685 0.166
0.166 0.010 0.685
0.242 0.242 0.242
0.315 0.834 0.990
0.685 0.166 0.010
0.758 0.758 0.758
0.834 0.990 0.315
0.990 0.315 0.834
0.000 0.500 0.500
0.500 0.000 0.500
0.500 0.500 0.000

---

# 3
ReAsRh (GGA-PBE, relaxed); magnetic moment = 0.000 μB per atom; E = -8.05 eV per atom; crystal system = trigonal; space group = P3m1, No. 156
1.0
2.895 0.000 0.000
-1.448 2.507 0.000
0.000 0.000 6.194
Re As Rh
1 1 1
Direct
0.000 0.000 0.000
0.333 0.667 0.678
0.667 0.333 0.343

---

# 4
LaDyAlTl (GGA-PBE, relaxed); magnetic moment = 0.000 μB per atom; E = -4.26 eV per atom; crystal system = cubic; space group = F-43m, No. 216
1.0
7.616 0.000 0.000
0.000 7.616 0.000
0.000 0.000 7.616
La Dy Al Tl
4 4 4 4
Direct
0.000 0.000 0.000
0.000 0.500 0.500
0.500 0.000 0.500
0.500 0.500 0.000
0.000 0.000 0.500
0.000 0.500 0.000
0.500 0.000 0.000
0.500 0.500 0.500
0.250 0.250 0.750
0.250 0.750 0.250
0.750 0.250 0.250
0.750 0.750 0.750
0.250 0.250 0.250
0.250 0.750 0.750
0.750 0.250 0.750
0.750 0.750 0.250

---

# 5
Pr3Dy5Th2 (GGA-PBE, relaxed); magnetic moment = 0.000 μB per atom; E = -5.01 eV per atom; crystal system = monoclinic; space group = C2/c, No. 15
1.0
5.421 -8.723 0.000
5.421 8.723 0.000
-5.406 0.000 7.155
Pr Dy Th
6 10 4
Direct
0.022 0.268 0.038
0.223 0.777 0.750
0.268 0.022 0.538
0.732 0.978 0.462
0.777 0.223 0.250
0.978 0.732 0.962
0.031 0.969 0.750
0.136 0.364 0.752
0.280 0.720 0.250
0.364 0.136 0.252
0.467 0.533 0.250
0.533 0.467 0.750
0.636 0.864 0.748
0.720 0.280 0.750
0.864 0.636 0.248
0.969 0.031 0.250
0.243 0.484 0.476
0.484 0.243 0.976
0.516 0.757 0.024
0.757 0.516 0.524

---

What is the E in the third record?
-8.05 eV per atom

---

Which of these has the highest E?
Ca8Ac3

---

What is the formula in the second record?
Ca8Ac3

---

Which formula does entry 3 have?
ReAsRh